The following is a PBE-GGA calculation of a relaxed structure of Tm2Cu3Ge4Pd, from Alexandria.

## Properties
ΔH_f (0 K) (eV per atom): -0.4997
Calculated volume (Å³ per atom): 17.3

The structure in CIF format:
```
data_Tm2Cu3Ge4Pd
_space_group_name_H-M_alt 'P -4 m 2'
_space_group_IT_number 115
_cell_length_a 4.097
_cell_length_b 4.097
_cell_length_c 10.292
_cell_angle_alpha 90.00
_cell_angle_beta 90.00
_cell_angle_gamma 90.00
loop_
_space_group_symop_operation_xyz
'x,y,z'
'y,-x,-z'
'-x,-y,z'
'-y,x,-z'
'-x,y,z'
'-y,-x,-z'
'x,-y,z'
'y,x,-z'
loop_
_atom_site_label
_atom_site_type_symbol
_atom_site_fract_x
_atom_site_fract_y
_atom_site_fract_z
Tm1 Tm 0.000 0.500 0.247
Cu1 Cu 0.000 0.000 0.000
Cu2 Cu 0.000 0.500 0.634
Ge1 Ge 0.000 0.000 0.500
Ge2 Ge 0.000 0.500 0.861
Ge3 Ge 0.500 0.500 0.500
Pd1 Pd 0.500 0.500 0.000
```

The following is a PBE-GGA calculation of a relaxed structure of TmCuGePd, from Alexandria.

## Properties
ΔH_f (0 K) (eV per atom): -0.5439
Calculated volume (Å³ per atom): 17.1

The structure in CIF format:
```
data_TmCuGePd
_space_group_name_H-M_alt 'F -4 3 m'
_space_group_IT_number 216
_space_group_name_Hall 'F -4 2 3'
_cell_length_a 6.487
_cell_length_b 6.487
_cell_length_c 6.487
_cell_angle_alpha 90.00
_cell_angle_beta 90.00
_cell_angle_gamma 90.00
loop_
_atom_site_label
_atom_site_type_symbol
_atom_site_fract_x
_atom_site_fract_y
_atom_site_fract_z
Tm1 Tm 0.000 0.000 0.000
Cu1 Cu 0.250 0.250 0.750
Ge1 Ge 0.000 0.000 0.500
Pd1 Pd 0.250 0.250 0.250
```

The following is a PBE-GGA calculation of a relaxed structure of CuGePdW2, from Alexandria.

## Properties
ΔH_f (0 K) (eV per atom): 1.6208
Calculated volume (Å³ per atom): 18.6

The structure in CIF format:
```
data_CuGePdW2
_space_group_name_H-M_alt 'P 4/m m m'
_space_group_IT_number 123
_space_group_name_Hall '-P 4 2'
_cell_length_a 4.521
_cell_length_b 4.521
_cell_length_c 4.541
_cell_angle_alpha 90.00
_cell_angle_beta 90.00
_cell_angle_gamma 90.00
loop_
_atom_site_label
_atom_site_type_symbol
_atom_site_fract_x
_atom_site_fract_y
_atom_site_fract_z
Cu1 Cu 0.000 0.000 0.000
Ge1 Ge 0.500 0.500 0.500
Pd1 Pd 0.000 0.000 0.500
W1 W 0.000 0.500 0.000
```

The following is a PBE-GGA calculation of a relaxed structure of YCuGe2Pd, from Alexandria.

## Properties
ΔH_f (0 K) (eV per atom): -0.6556
Calculated volume (Å³ per atom): 17.9

The structure in CIF format:
```
data_YCuGe2Pd
_space_group_name_H-M_alt 'I -4 m 2'
_space_group_IT_number 119
_space_group_name_Hall 'I -4 -2'
_cell_length_a 4.128
_cell_length_b 4.128
_cell_length_c 10.502
_cell_angle_alpha 90.00
_cell_angle_beta 90.00
_cell_angle_gamma 90.00
loop_
_atom_site_label
_atom_site_type_symbol
_atom_site_fract_x
_atom_site_fract_y
_atom_site_fract_z
Y1 Y 0.000 0.000 0.000
Cu1 Cu 0.000 0.500 0.750
Ge1 Ge 0.000 0.000 0.383
Pd1 Pd 0.000 0.500 0.250
```

The following is a PBE-GGA calculation of a relaxed structure of Pm4CuGe8, from Alexandria.

## Properties
ΔH_f (0 K) (eV per atom): -0.6098
Calculated volume (Å³ per atom): 21.9

The structure in CIF format:
```
data_Pm4CuGe8
_space_group_name_H-M_alt 'P m m 2'
_space_group_IT_number 25
_cell_length_a 4.029
_cell_length_b 4.151
_cell_length_c 17.054
_cell_angle_alpha 90.00
_cell_angle_beta 90.00
_cell_angle_gamma 90.00
loop_
_space_group_symop_operation_xyz
'x,y,z'
'-x,-y,z'
'-x,y,z'
'x,-y,z'
loop_
_atom_site_label
_atom_site_type_symbol
_atom_site_fract_x
_atom_site_fract_y
_atom_site_fract_z
Pm1 Pm 0.000 0.000 0.000
Pm2 Pm 0.000 0.500 0.493
Pm3 Pm 0.500 0.000 0.789
Pm4 Pm 0.500 0.500 0.284
Cu1 Cu 0.000 0.500 0.714
Ge1 Ge 0.000 0.000 0.339
Ge2 Ge 0.000 0.000 0.632
Ge3 Ge 0.000 0.500 0.139
Ge4 Ge 0.000 0.500 0.855
Ge5 Ge 0.500 0.000 0.145
Ge6 Ge 0.500 0.000 0.433
Ge7 Ge 0.500 0.500 0.632
Ge8 Ge 0.500 0.500 0.946
```

The following is a PBE-GGA calculation of a relaxed structure of PmCu6Ge2, from Alexandria.

## Properties
ΔH_f (0 K) (eV per atom): -0.2444
Calculated volume (Å³ per atom): 15.2

The structure in CIF format:
```
data_PmCu6Ge2
_space_group_name_H-M_alt 'P 4/m m m'
_space_group_IT_number 123
_space_group_name_Hall '-P 4 2'
_cell_length_a 4.139
_cell_length_b 4.139
_cell_length_c 7.990
_cell_angle_alpha 90.00
_cell_angle_beta 90.00
_cell_angle_gamma 90.00
loop_
_atom_site_label
_atom_site_type_symbol
_atom_site_fract_x
_atom_site_fract_y
_atom_site_fract_z
Pm1 Pm 0.000 0.000 0.000
Cu1 Cu 0.000 0.000 0.500
Cu2 Cu 0.000 0.500 0.319
Cu3 Cu 0.500 0.500 0.500
Ge1 Ge 0.500 0.500 0.158
```

The following is a PBE-GGA calculation of a relaxed structure of Pm2CuGe, from Alexandria.

## Properties
ΔH_f (0 K) (eV per atom): -0.5265
Calculated volume (Å³ per atom): 24.3

The structure in CIF format:
```
data_Pm2CuGe
_space_group_name_H-M_alt 'P 1 21/m 1'
_space_group_IT_number 11
_cell_length_a 6.041
_cell_length_b 4.238
_cell_length_c 8.118
_cell_angle_alpha 90.00
_cell_angle_beta 110.56
_cell_angle_gamma 90.00
loop_
_space_group_symop_operation_xyz
'x,y,z'
'-x,-y,-z'
'-x,y+1/2,-z'
'x,-y+1/2,z'
loop_
_atom_site_label
_atom_site_type_symbol
_atom_site_fract_x
_atom_site_fract_y
_atom_site_fract_z
Pm1 Pm 0.213 0.250 0.412
Pm2 Pm 0.221 0.250 0.944
Cu1 Cu 0.392 0.750 0.224
Ge1 Ge 0.334 0.750 0.706
```

The following is a PBE-GGA calculation of a relaxed structure of Pm2Cu2Ge3, from Alexandria.

## Properties
ΔH_f (0 K) (eV per atom): -0.6358
Calculated volume (Å³ per atom): 19.5

The structure in CIF format:
```
data_Pm2Cu2Ge3
_space_group_name_H-M_alt 'C m c m'
_space_group_IT_number 63
_space_group_name_Hall '-C 2c 2'
_cell_length_a 4.351
_cell_length_b 18.364
_cell_length_c 6.817
_cell_angle_alpha 90.00
_cell_angle_beta 90.00
_cell_angle_gamma 90.00
loop_
_atom_site_label
_atom_site_type_symbol
_atom_site_fract_x
_atom_site_fract_y
_atom_site_fract_z
Pm1 Pm 0.000 0.051 0.250
Pm2 Pm 0.000 0.159 0.750
Cu1 Cu 0.000 0.309 0.563
Ge1 Ge 0.000 0.222 0.250
Ge2 Ge 0.000 0.436 0.063
```

The following is a PBE-GGA calculation of a relaxed structure of Pm3CuGe, from Alexandria.

## Properties
ΔH_f (0 K) (eV per atom): -0.3694
Calculated volume (Å³ per atom): 26.4

The structure in CIF format:
```
data_Pm3CuGe
_space_group_name_H-M_alt 'P -1'
_space_group_IT_number 2
_cell_length_a 4.326
_cell_length_b 7.455
_cell_length_c 8.555
_cell_angle_alpha 91.56
_cell_angle_beta 90.04
_cell_angle_gamma 106.84
loop_
_space_group_symop_operation_xyz
'x,y,z'
'-x,-y,-z'
loop_
_atom_site_label
_atom_site_type_symbol
_atom_site_fract_x
_atom_site_fract_y
_atom_site_fract_z
Pm1 Pm 0.053 0.107 0.306
Pm2 Pm 0.236 0.472 0.681
Pm3 Pm 0.397 0.797 0.079
Cu1 Cu 0.209 0.417 0.056
Ge1 Ge 0.407 0.815 0.441
```

The following is a PBE-GGA calculation of a relaxed structure of Pm2CuGe3, from Alexandria.

## Properties
ΔH_f (0 K) (eV per atom): -0.7081
Calculated volume (Å³ per atom): 21.3

The structure in CIF format:
```
data_Pm2CuGe3
_space_group_name_H-M_alt 'F m m m'
_space_group_IT_number 69
_space_group_name_Hall '-F 2 2'
_cell_length_a 8.388
_cell_length_b 8.405
_cell_length_c 14.478
_cell_angle_alpha 90.00
_cell_angle_beta 90.00
_cell_angle_gamma 90.00
loop_
_atom_site_label
_atom_site_type_symbol
_atom_site_fract_x
_atom_site_fract_y
_atom_site_fract_z
Pm1 Pm 0.000 0.242 0.000
Pm2 Pm 0.250 0.250 0.250
Cu1 Cu 0.000 0.000 0.333
Ge1 Ge 0.000 0.000 0.171
Ge2 Ge 0.240 0.000 0.414
```

Q: Which value of calculated volume does entry 10 give?
A: 21.3 Å³ per atom